1.
Here is crystalline LiAcDyAl at its relaxed geometry from Alexandria. Energies are from GGA-PBE. Values from VASP.

SG: No. 216
energy of formation from the pure elements: -2.9 kcal/mol of atoms
crystal system: cubic

Cell and atoms, written as Quantum ESPRESSO input:
```
&SYSTEM
  ibrav = 0, nat = 4, ntyp = 4
/
ATOMIC_SPECIES
Ac 227.00 Ac.upf
Li 6.94 Li.upf
Al 26.98 Al.upf
Dy 162.50 Dy.upf
CELL_PARAMETERS angstrom
5.405 0.000 0.000
2.702 4.681 0.000
2.702 1.560 4.413
ATOMIC_POSITIONS angstrom
Ac 2.702 1.560 1.103
Li 0.000 0.000 0.000
Al 5.405 3.121 2.207
Dy 8.107 4.681 3.310
```

2.
Here is crystalline Sm6Te3AsS2 at its relaxed geometry from Alexandria. Energies are from GGA-PBE. Values from VASP.

SG: No. 12
formation energy (no corrections): -1658 meV per atom
crystal system: monoclinic

Cell and atoms, written as Quantum ESPRESSO input:
```
&SYSTEM
  ibrav = 0, nat = 12, ntyp = 4
/
ATOMIC_SPECIES
Sm 150.36 Sm.upf
Te 127.60 Te.upf
As 74.92 As.upf
S 32.06 S.upf
CELL_PARAMETERS angstrom
-3.141 -4.447 4.835
6.743 -1.386 -2.374
1.493 5.876 4.542
ATOMIC_POSITIONS angstrom
Sm 2.247 -0.314 6.674
Sm 2.944 -3.038 2.746
Sm 2.848 0.358 0.329
Sm 5.587 0.720 4.238
Sm 2.150 3.081 4.257
Sm -0.493 -0.677 2.765
Te 5.864 1.049 1.083
Te -0.769 -1.005 5.920
Te 2.547 0.022 3.502
As 0.000 0.000 0.000
S 3.453 -2.405 0.026
S 0.149 -3.428 2.436
```

3.
Here is crystalline CsK3Ti at its relaxed geometry from Alexandria. Energies are from GGA-PBE. Values from VASP.

polymorph energy (0 for the lowest one): 0.000 eV per atom
SG: No. 221
energy of formation from the pure elements: 16.9 kcal/mol of atoms
crystal system: cubic

Cell and atoms, written as Quantum ESPRESSO input:
```
&SYSTEM
  ibrav = 0, nat = 5, ntyp = 3
/
ATOMIC_SPECIES
Cs 132.91 Cs.upf
K 39.10 K.upf
Ti 47.87 Ti.upf
CELL_PARAMETERS angstrom
-3.876 5.904 0.307
-3.113 -2.350 5.895
5.025 3.097 3.889
ATOMIC_POSITIONS angstrom
Cs -0.982 3.326 5.045
K -1.557 -1.175 2.948
K 2.513 1.549 1.944
K -1.938 2.952 0.153
Ti 0.000 0.000 0.000
```

4.
Here is crystalline LiScCu2 at its relaxed geometry from Alexandria. Energies are from GGA-PBE. Values from VASP.

SG: No. 123
energy of formation from the pure elements: -2.8 kcal/mol of atoms
crystal system: tetragonal

Cell and atoms, written as Quantum ESPRESSO input:
```
&SYSTEM
  ibrav = 0, nat = 4, ntyp = 3
/
ATOMIC_SPECIES
Sc 44.96 Sc.upf
Cu 63.55 Cu.upf
Li 6.94 Li.upf
CELL_PARAMETERS angstrom
3.213 0.000 0.000
0.000 3.213 0.000
0.000 0.000 5.902
ATOMIC_POSITIONS angstrom
Sc 1.606 1.606 4.427
Cu 0.000 0.000 0.155
Cu 0.000 0.000 2.796
Li 1.606 1.606 1.476
```

5.
Here is crystalline NbCo4Ir at its relaxed geometry from Alexandria. Energies are from GGA-PBE. Values from VASP.

SG: No. 216
energy of formation from the pure elements: -4.0 kcal/mol of atoms
crystal system: cubic

Cell and atoms, written as Quantum ESPRESSO input:
```
&SYSTEM
  ibrav = 0, nat = 6, ntyp = 3
/
ATOMIC_SPECIES
Nb 92.91 Nb.upf
Ir 192.22 Ir.upf
Co 58.93 Co.upf
CELL_PARAMETERS angstrom
-3.395 -0.168 -3.293
0.261 -3.165 -3.509
-3.004 -3.656 -0.118
ATOMIC_POSITIONS angstrom
Nb -1.534 -1.747 -1.730
Ir 0.000 0.000 0.000
Co -2.331 -2.535 -4.270
Co -3.971 -2.782 -2.567
Co -3.839 -4.372 -4.329
Co -2.134 -4.287 -2.675
```

6.
Here is crystalline La5Tc3 at its relaxed geometry from Alexandria. Energies are from GGA-PBE. Values from VASP.

polymorph energy (0 for the lowest one): 0.227 eV per atom
SG: No. 65
energy of formation from the pure elements: 7.0 kcal/mol of atoms
crystal system: orthorhombic

Cell and atoms, written as Quantum ESPRESSO input:
```
&SYSTEM
  ibrav = 0, nat = 8, ntyp = 2
/
ATOMIC_SPECIES
La 138.91 La.upf
Tc 98.00 Tc.upf
CELL_PARAMETERS angstrom
-3.838 5.085 -2.369
-3.108 -5.995 -0.778
-1.977 0.476 4.226
ATOMIC_POSITIONS angstrom
La 0.000 0.000 0.000
La -1.919 2.543 -1.184
La -1.554 -2.997 -0.389
La -5.947 -0.411 -0.134
La -2.975 -0.022 1.213
Tc -3.473 -0.455 -1.574
Tc -4.667 2.906 0.091
Tc -4.256 -3.339 0.987
```

7.
Here is crystalline Cs2ZrI6Cl at its relaxed geometry from Alexandria. Energies are from GGA-PBE. Values from VASP.

SG: No. 139
formation energy (no corrections): -1036 meV per atom
crystal system: tetragonal

Cell and atoms, written as Quantum ESPRESSO input:
```
&SYSTEM
  ibrav = 0, nat = 10, ntyp = 4
/
ATOMIC_SPECIES
Cs 132.91 Cs.upf
I 126.90 I.upf
Zr 91.22 Zr.upf
Cl 35.45 Cl.upf
CELL_PARAMETERS angstrom
9.218 0.000 0.000
0.000 9.218 0.000
4.609 4.609 5.797
ATOMIC_POSITIONS angstrom
Cs 9.218 4.609 2.898
Cs 4.609 9.218 2.898
I 4.609 4.609 2.893
I 9.218 9.218 2.904
I 2.034 2.034 0.000
I 7.184 7.184 0.000
I 7.184 2.034 0.000
I 2.034 7.184 0.000
Zr 0.000 0.000 0.000
Cl 4.609 4.609 0.000
```

8.
Here is crystalline Sm7Sn2Au2 at its relaxed geometry from Alexandria. Energies are from GGA-PBE. Values from VASP.

SG: No. 65
energy of formation from the pure elements: -8.7 kcal/mol of atoms
crystal system: orthorhombic

Cell and atoms, written as Quantum ESPRESSO input:
```
&SYSTEM
  ibrav = 0, nat = 11, ntyp = 3
/
ATOMIC_SPECIES
Sm 150.36 Sm.upf
Sn 118.71 Sn.upf
Au 196.97 Au.upf
CELL_PARAMETERS angstrom
-6.225 1.491 3.124
2.892 -1.371 6.417
3.690 6.081 -0.364
ATOMIC_POSITIONS angstrom
Sm -3.606 4.168 4.653
Sm 2.695 5.822 5.904
Sm 3.962 2.034 4.524
Sm -2.338 0.381 3.273
Sm 0.000 0.000 0.000
Sm 0.907 2.754 6.211
Sm -0.550 3.449 2.966
Sn -0.643 5.555 5.483
Sn 1.000 0.647 3.694
Au -0.509 1.428 8.547
Au 0.866 4.774 0.630
```

no.,energy (eV/cell),DOS(E_F) (states/eV/f.u.)
1,-14.87,3.621
2,-70.54,4.266
3,-8.37,4.610
4,-16.92,2.453
5,-48.39,8.146
6,-53.31,10.665
7,-31.76,2.461
8,-51.76,10.941